(1)
3
Lattice="-3.414 -0.865 -1.249 1.043 -3.568 -0.380 -1.173 0.731 8.292" Properties=species:S:1:pos:R:3 comment="PBE-GGA SrSmLu, relaxed" magmom_total_mub_per_atom=0.00 n_ef_per_ev_atom=1.640 delta_e_f_ev_per_atom=0.139 pbc="T T T"
Sm -2.043 -2.756 1.902
Sr -3.536 -3.696 6.636
Lu -1.510 -0.951 4.787

***

(2)
12
Lattice="-2.461 0.107 6.647 6.345 -2.842 -1.384 1.584 6.870 -0.785" Properties=species:S:1:pos:R:3 comment="PBE-GGA Ce3ErTh2P6, relaxed" magmom_total_mub_per_atom=0.13 n_ef_per_ev_atom=1.238 delta_e_f_ev_per_atom=-1.542 pbc="T T T"
P 2.137 4.482 0.697
Ce 5.664 1.087 -0.433
P -0.090 1.520 2.421
P 2.670 3.583 4.691
Ce -0.195 3.049 4.910
P 3.332 -0.346 3.780
Ce 2.734 2.068 2.239
P 2.798 0.553 -0.213
Th 0.477 -0.877 3.968
Th 3.407 -1.858 1.295
P 5.559 2.615 2.056
Er 0.000 0.000 0.000

***

(3)
8
Lattice="6.782 0.000 0.000 0.000 6.782 0.000 3.391 3.391 2.859" Properties=species:S:1:pos:R:3 comment="PBE-GGA HfBe2Cd, relaxed" magmom_total_mub_per_atom=0.00 n_ef_per_ev_atom=0.501 delta_e_f_ev_per_atom=0.569 de_polymorph_ev_per_fu=1.556 pbc="T T T"
Be 4.952 1.695 0.715
Hf 0.000 0.000 0.000
Be 1.829 5.086 0.715
Be 8.477 8.343 2.145
Be 5.086 5.220 2.145
Hf 6.782 3.391 1.430
Cd 3.391 6.782 1.430
Cd 3.391 3.391 0.000

***

(4)
20
Lattice="-2.488 -2.799 2.256 5.936 1.592 8.522 -6.278 7.912 2.894" Properties=species:S:1:pos:R:3 comment="PBE-GGA NaLi5Ca2Zn2, relaxed" magmom_total_mub_per_atom=0.00 n_ef_per_ev_atom=0.581 delta_e_f_ev_per_atom=-0.072 pbc="T T T"
Li -3.180 3.536 5.117
Li -5.703 4.841 3.954
Na 0.000 0.000 0.000
Ca -3.249 7.018 5.125
Li 0.350 3.169 8.556
Li -2.422 5.242 8.071
Zn 1.583 1.513 3.623
Ca 2.907 2.487 6.292
Zn 2.835 4.471 8.675
Ca -0.966 2.832 2.448
Li -4.383 2.556 2.575
Zn -1.926 7.992 7.794
Ca 0.624 6.672 8.968
Li -0.409 1.463 5.602
Na -0.171 4.752 5.708
Zn -3.178 5.034 2.741
Li 2.873 1.864 9.718
Li -2.492 7.205 10.429
Li 1.724 -0.604 5.389
Li -0.338 -0.500 3.243

***

(5)
4
Lattice="-1.500 2.668 3.636 -1.648 -2.722 3.531 4.042 -0.062 -2.500" Properties=species:S:1:pos:R:3 comment="PBE-GGA Be2AlHg, relaxed" magmom_total_mub_per_atom=0.00 n_ef_per_ev_atom=0.477 delta_e_f_ev_per_atom=0.472 pbc="T T T"
Be 0.000 0.000 0.000
Be 0.410 -1.405 2.307
Hg -1.574 -0.027 3.583
Al 0.484 1.290 2.360

***

(6)
10
Lattice="11.127 0.000 0.000 0.000 11.127 0.000 0.000 0.000 4.294" Properties=species:S:1:pos:R:3 comment="PBE-GGA BaSr2Ca2, relaxed" magmom_total_mub_per_atom=0.14 n_ef_per_ev_atom=1.648 delta_e_f_ev_per_atom=0.083 de_polymorph_ev_per_fu=0.000 pbc="T T T"
Ca 6.912 1.348 0.000
Sr 1.922 7.485 2.147
Ca 9.779 6.912 0.000
Ca 4.215 9.779 0.000
Ca 1.348 4.215 0.000
Sr 9.206 3.642 2.147
Sr 7.485 9.206 2.147
Ba 0.000 0.000 0.000
Sr 3.642 1.922 2.147
Ba 5.564 5.564 0.000